[1]
# ZrIrCl2 | the Alexandria database | PBE-GGA | relaxed
# N(E_F)   3.29 states/eV/f.u.
# E above lowest polymorph   884 meV per atom
# Formation energy (no corrections)   0.3 eV/f.u.
data_ZrIrCl2
_chemical_formula_sum 'Zr2 Ir2 Cl4'
_cell_length_a 3.066
_cell_length_b 5.358
_cell_length_c 11.295
_cell_angle_alpha 90.00
_cell_angle_beta 90.00
_cell_angle_gamma 90.00
_space_group_name_H-M_alt 'C m m m'
_space_group_IT_number 65
_space_group_name_Hall '-C 2 2'
loop_
_atom_site_label
_atom_site_fract_x
_atom_site_fract_y
_atom_site_fract_z
Zr1 0.000 0.000 0.000
Ir1 0.000 0.000 0.500
Cl1 0.000 0.500 0.180

[2]
# PmHo5In6 | the Alexandria database | PBE-GGA | relaxed
# Formation energy from the elements   -0.4613 eV/atom
# N(E_F)   5.64 states/eV/f.u.
data_PmHo5In6
_chemical_formula_sum 'Pm2 Ho10 In12'
_cell_length_a 5.325
_cell_length_b 15.986
_cell_length_c 7.504
_cell_angle_alpha 90.00
_cell_angle_beta 90.00
_cell_angle_gamma 90.00
_space_group_name_H-M_alt 'C m m m'
_space_group_IT_number 65
_space_group_name_Hall '-C 2 2'
loop_
_atom_site_label
_atom_site_fract_x
_atom_site_fract_y
_atom_site_fract_z
Pm1 0.000 0.000 0.000
Ho1 0.000 0.000 0.500
Ho2 0.000 0.333 0.000
Ho3 0.000 0.336 0.500
In1 0.000 0.169 0.254
In2 0.000 0.500 0.253

[3]
# BaTcRh3 | the Alexandria database | PBE-GGA | relaxed
# Formation energy from the elements   2.5303 eV/atom
# N(E_F)   19.94 states/eV/f.u.
# E above lowest polymorph   2092 meV per atom
data_BaTcRh3
_chemical_formula_sum 'Ba1 Tc1 Rh3'
_cell_length_a 4.931
_cell_length_b 4.931
_cell_length_c 4.931
_cell_angle_alpha 90.00
_cell_angle_beta 90.00
_cell_angle_gamma 90.00
_space_group_name_H-M_alt 'P m -3 m'
_space_group_IT_number 221
_space_group_name_Hall '-P 4 2 3'
loop_
_atom_site_label
_atom_site_fract_x
_atom_site_fract_y
_atom_site_fract_z
Ba1 0.000 0.000 0.000
Tc1 0.500 0.500 0.500
Rh1 0.000 0.000 0.500

[4]
# TlHg3C | the Alexandria database | PBE-GGA | relaxed
# Formation energy from the elements   0.8842 eV/atom
# N(E_F)   1.87 states/eV/f.u.
# E above lowest polymorph   0 meV per atom
data_TlHg3C
_chemical_formula_sum 'Tl1 Hg3 C1'
_cell_length_a 4.941
_cell_length_b 4.941
_cell_length_c 4.941
_cell_angle_alpha 90.00
_cell_angle_beta 90.00
_cell_angle_gamma 90.00
_space_group_name_H-M_alt 'P m -3 m'
_space_group_IT_number 221
_space_group_name_Hall '-P 4 2 3'
loop_
_atom_site_label
_atom_site_fract_x
_atom_site_fract_y
_atom_site_fract_z
Tl1 0.000 0.000 0.000
Hg1 0.000 0.500 0.500
C1 0.500 0.500 0.500

[5]
# Th3MgTc | the Alexandria database | PBE-GGA | relaxed
# Formation energy from the elements   -0.0113 eV/atom
# N(E_F)   5.51 states/eV/f.u.
# E above lowest polymorph   0 meV per atom
data_Th3MgTc
_chemical_formula_sum 'Th12 Mg4 Tc4'
_cell_length_a 13.578
_cell_length_b 3.806
_cell_length_c 10.818
_cell_angle_alpha 90.00
_cell_angle_beta 90.92
_cell_angle_gamma 90.00
_space_group_name_H-M_alt 'C 1 2 1'
_space_group_IT_number 5
_space_group_name_Hall 'C 2y'
loop_
_atom_site_label
_atom_site_fract_x
_atom_site_fract_y
_atom_site_fract_z
Th1 0.048 0.000 0.141
Th2 0.061 0.499 0.642
Th3 0.224 0.500 0.340
Mg1 0.179 0.502 0.924
Tc1 0.095 0.000 0.433

[6]
# LiTl2SbO6 | the Alexandria database | PBE-GGA | relaxed
# Formation energy (no corrections)   -11.6 eV/f.u.
data_LiTl2SbO6
_chemical_formula_sum 'Li3 Tl6 Sb3 O18'
_cell_length_a 5.5715
_cell_length_b 5.5715
_cell_length_c 14.6809
_cell_angle_alpha 90.00
_cell_angle_beta 90.00
_cell_angle_gamma 120.00
_space_group_name_H-M_alt 'R 3'
_space_group_IT_number 146
_space_group_name_Hall 'R 3'
loop_
_atom_site_label
_atom_site_fract_x
_atom_site_fract_y
_atom_site_fract_z
Li1 0.0000 0.0000 0.0000
Tl1 0.0000 0.0000 0.2304
Tl2 0.0000 0.0000 0.7356
Sb1 0.0000 0.0000 0.5207
O1 0.0270 0.7299 0.6087
O2 0.0507 0.3383 0.1160

no.,total magnetization (μB per cell)
1,3.0
2,0.0
3,0.0
4,0.0
5,0.0
6,0.0